Entry one
Density functional theory data (PBE-GGA) for HoTm4Ag after structural relaxation.

Cell and atoms, written as CIF:
```
data_HoTm4Ag
_space_group_name_H-M_alt 'C m c 21'
_space_group_IT_number 36
_space_group_name_Hall 'C 2c -2'
_cell_length_a 5.3462
_cell_length_b 20.6339
_cell_length_c 6.3338
_cell_angle_alpha 90.00
_cell_angle_beta 90.00
_cell_angle_gamma 90.00
loop_
_atom_site_label
_atom_site_fract_x
_atom_site_fract_y
_atom_site_fract_z
Ho1 0.0000 0.1357 0.0000
Tm1 0.0000 0.0658 0.5040
Tm2 0.0000 0.2576 0.6284
Tm3 0.0000 0.3235 0.1392
Tm4 0.0000 0.4648 0.3370
Ag1 0.0000 0.3980 0.7476
```

Entry two
Density functional theory data (PBE-GGA) for HoTm4Ag after structural relaxation.

Cell and atoms, written as CIF:
```
data_HoTm4Ag
_space_group_name_H-M_alt 'P 4/m m m'
_space_group_IT_number 123
_space_group_name_Hall '-P 4 2'
_cell_length_a 3.4904
_cell_length_b 3.4904
_cell_length_c 13.8041
_cell_angle_alpha 90.00
_cell_angle_beta 90.00
_cell_angle_gamma 90.00
loop_
_atom_site_label
_atom_site_fract_x
_atom_site_fract_y
_atom_site_fract_z
Ho1 0.0000 0.0000 0.0000
Tm1 0.0000 0.0000 0.3619
Tm2 0.5000 0.5000 0.1799
Ag1 0.5000 0.5000 0.5000
```

Most stable: entry two (next structure +12.1 kJ/mol of atoms)